Below is a relaxed structure of CoSiOs4, with properties calculated at the PBE-GGA level.

Properties
N(E_F) = 1.62 states/eV/atom
Formation energy from raw total energies = 6.2 eV/f.u.
Calculated density = 14.9 g cm⁻³

```
CoSiOs4
1.0
0.000 3.613 3.613
3.613 0.000 3.613
3.613 3.613 0.000
Co Si Os
1 1 4
direct
0.000 0.000 0.000
0.250 0.250 0.250
0.125 0.625 0.625
0.625 0.125 0.625
0.625 0.625 0.125
0.625 0.625 0.625
```

=====

Below is a relaxed structure of Pm3SmF, with properties calculated at the PBE-GGA level.

Properties
N(E_F) = 1.03 states/eV/atom
Formation energy from raw total energies = -4.9 eV/f.u.
Calculated density = 7.3 g cm⁻³

```
Pm3SmF
1.0
5.168 0.000 0.000
0.000 5.168 0.000
0.000 0.000 5.168
Pm Sm F
3 1 1
direct
0.000 0.000 0.500
0.000 0.500 0.000
0.500 0.000 0.000
0.500 0.500 0.500
0.000 0.000 0.000
```

=====

Below is a relaxed structure of Te2PtAu, with properties calculated at the PBE-GGA level.

Properties
N(E_F) = 0.81 states/eV/atom
Formation energy from raw total energies = 1.1 eV/f.u.
Calculated density = 10.8 g cm⁻³

```
Te2PtAu
1.0
3.829 0.000 0.000
0.000 3.954 0.000
0.000 0.000 6.591
Te Pt Au
2 1 1
direct
0.000 0.000 0.000
0.500 0.000 0.500
0.000 0.500 0.500
0.500 0.500 0.000
```

=====

Below is a relaxed structure of K5Cl4F, with properties calculated at the PBE-GGA level.

Properties
N(E_F) = 0.00 states/eV/atom
Formation energy from raw total energies = -20.8 eV/f.u.
Calculated density = 2.0 g cm⁻³

```
K5Cl4F
1.0
-2.213 2.213 15.431
2.213 -2.213 15.431
2.213 2.213 -15.431
K Cl F
5 4 1
direct
0.000 0.000 0.000
0.198 0.198 0.000
0.411 0.411 0.000
0.589 0.589 0.000
0.802 0.802 0.000
0.097 0.097 0.000
0.302 0.302 0.000
0.698 0.698 0.000
0.903 0.903 0.000
0.500 0.500 0.000
```

=====

Below is a relaxed structure of SmErCoAu, with properties calculated at the PBE-GGA level.

Properties
N(E_F) = 0.79 states/eV/atom
Calculated density = 11.0 g cm⁻³
ΔH_f (0 K) = -405 meV/atom

```
SmErCoAu
1.0
0.000 3.512 3.512
3.512 0.000 3.512
3.512 3.512 0.000
Sm Er Co Au
1 1 1 1
direct
0.000 0.000 0.000
0.500 0.500 0.500
0.750 0.750 0.750
0.250 0.250 0.250
```

=====

Below is a relaxed structure of Zr2TlW, with properties calculated at the PBE-GGA level.

Properties
N(E_F) = 0.89 states/eV/atom
Offset from the most stable computed form = 0.296 eV per atom
Calculated density = 11.3 g cm⁻³
ΔH_f (0 K) = 290 meV/atom

```
Zr2TlW
1.0
5.220 -1.559 0.000
5.220 1.559 0.000
-1.057 0.000 5.164
Zr Tl W
2 1 1
direct
0.000 0.000 0.000
0.228 0.228 0.702
0.755 0.755 0.218
0.487 0.487 0.495
```